[1]
## KIr2Br (PBE-GGA)

Data for a geometry-optimized KIr2Br structure.

Cell lengths 4.7712, 4.7712, 4.7712 Å; angles 60.00, 60.00, 60.00 degrees
With the nearest neighbours (Å) after each atom.
Positions (direct):
K (0.0000, 0.0000, 0.0000)  8 Ir 2.92
Ir (0.2500, 0.2500, 0.2500)  4 Br 2.92, 4 K 2.92
Ir (0.7500, 0.7500, 0.7500)  4 Br 2.92, 4 K 2.92
Br (0.5000, 0.5000, 0.5000)  8 Ir 2.92

space-group type = Fm-3m


[2]
## KIr2Br (PBE-GGA)

Data for a geometry-optimized KIr2Br structure.

Cell lengths 2.7789, 4.0005, 9.1018 Å; angles 90.00, 90.00, 90.00 degrees
With the nearest neighbours (Å) after each atom.
Positions (direct):
K (0.0000, 0.0000, 0.0000)  2 K 2.78
Ir (0.0000, 0.0000, 0.6327)  6 Ir 2.55-2.78
Ir (0.5000, 0.5000, 0.7157)  6 Ir 2.55-2.78
Br (0.5000, 0.5000, 0.2375)  2 Br 2.78

space-group type = Pmm2


[3]
## KIr2Br (PBE-GGA)

Data for a geometry-optimized KIr2Br structure.

Cell lengths 10.3004, 10.3004, 10.3004 Å; angles 16.28, 16.28, 16.28 degrees
With the nearest neighbours (Å) after each atom.
Positions (direct):
K (0.0000, 0.0000, 0.0000)  6 K 2.92
Ir (0.2404, 0.2404, 0.2404)  3 Br 2.81, 6 Ir 2.92
Ir (0.7596, 0.7596, 0.7596)  3 Br 2.81, 6 Ir 2.92
Br (0.5000, 0.5000, 0.5000)  6 Ir 2.81, 6 Br 2.92

space-group type = R-3m


[4]
## KIrBr2 (PBE-GGA)

Data for a geometry-optimized KIrBr2 structure.

Cell lengths 8.4614, 8.4614, 8.4614 Å; angles 137.77, 137.77, 61.26 degrees
With the nearest neighbours (Å) after each atom.
Positions (direct):
K (0.0000, 0.0000, 0.0000)  4 Br 3.24
K (0.7500, 0.2500, 0.5000)  4 Br 3.24
Ir (0.2500, 0.7500, 0.5000)  4 Br 2.52
Ir (0.5000, 0.5000, 0.0000)  4 Br 2.52
Br (0.2372, 0.6250, 0.1122)  2 Ir 2.52
Br (0.3750, 0.4872, 0.6122)  2 Ir 2.52
Br (0.5128, 0.1250, 0.8878)  2 Ir 2.52
Br (0.8750, 0.7628, 0.3878)  2 Ir 2.52

space-group type = I-42d


[5]
## KIr2Br (PBE-GGA)

Data for a geometry-optimized KIr2Br structure.

Cell lengths 3.3796, 3.3796, 8.1488 Å; angles 90.00, 90.00, 90.00 degrees
With the nearest neighbours (Å) after each atom.
Positions (direct):
K (0.0000, 0.0000, 0.0000)  4 Br 3.16, 4 K 3.38
Ir (0.0000, 0.0000, 0.5574)  4 Ir 2.54
Ir (0.5000, 0.5000, 0.6624)  4 Ir 2.54
Br (0.5000, 0.5000, 0.2537)  4 K 3.16, 5 Ir 3.33-3.44, 4 Br 3.38

space-group type = P4mm


[6]
## KIr2Br (PBE-GGA)

Data for a geometry-optimized KIr2Br structure.

Cell lengths 3.8009, 3.8009, 6.7781 Å; angles 90.00, 90.00, 90.00 degrees
With the nearest neighbours (Å) after each atom.
Positions (direct):
K (0.0000, 0.0000, 0.0000)  4 Br 2.69
Ir (0.0000, 0.5000, 0.5000)  4 Ir 2.69
Ir (0.5000, 0.0000, 0.5000)  4 Ir 2.69
Br (0.5000, 0.5000, 0.0000)  4 K 2.69

space-group type = P4/mmm


[7]
## KIrBr (PBE-GGA)

Data for a geometry-optimized KIrBr structure.

Cell lengths 4.2819, 4.2819, 5.1318 Å; angles 90.00, 90.00, 120.00 degrees
With the nearest neighbours (Å) after each atom.
Positions (direct):
K (0.0000, 0.0000, 0.0000)  6 Ir 3.56, 6 Br 3.56
Ir (0.3333, 0.6667, 0.5000)  3 Br 2.47
Br (0.6667, 0.3333, 0.5000)  3 Ir 2.47

space-group type = P-6m2


[8]
## KIrBr5 (PBE-GGA)

Data for a geometry-optimized KIrBr5 structure.

Cell lengths 8.8328, 8.8328, 7.3313 Å; angles 110.25, 110.25, 104.22 degrees
With the nearest neighbours (Å) after each atom.
Positions (direct):
K (0.1328, 0.8672, 0.7500)  8 Br 3.34-3.70
K (0.8672, 0.1328, 0.2500)  8 Br 3.34-3.70
Ir (0.0000, 0.5000, 0.0000)  6 Br 2.49-2.53
Ir (0.5000, 0.0000, 0.5000)  6 Br 2.49-2.53
Br (0.1559, 0.5018, 0.7746)  1 Ir 2.49
Br (0.1691, 0.8309, 0.2500)  2 Ir 2.53
Br (0.2114, 0.4113, 0.2195)  1 Ir 2.49
Br (0.4113, 0.2114, 0.7195)  1 Ir 2.49
Br (0.4982, 0.8441, 0.7254)  1 Ir 2.49
Br (0.5018, 0.1559, 0.2746)  1 Ir 2.49
Br (0.5887, 0.7886, 0.2805)  1 Ir 2.49
Br (0.7886, 0.5887, 0.7805)  1 Ir 2.49
Br (0.8309, 0.1691, 0.7500)  2 Ir 2.53
Br (0.8441, 0.4982, 0.2254)  1 Ir 2.49

space-group type = C2/c


We obtain spin magnetization values of 0.0000; 0.0000; 0.0016; 0.0000; 0.0003; 0.2247; 0.0001; 0.1382 μB/atom for the records listed above, in that order.
We obtain uncorrected formation energy values of 1.660; 0.161; 1.058; -0.108; 0.303; 0.869; 0.292; -0.597 eV/atom for the records listed above, in that order.